Entry from the Alexandria database: a geometry-optimized Al2Au2S structure (PBE).

a = 3.831 Å, b = 3.831 Å, c = 7.014 Å
α = 74.15°, β = 74.15°, γ = 90.00°
Fractional positions:
Au  0.250  0.750  0.500
Au  0.750  0.250  0.500
Al  0.404  0.404  0.193
Al  0.596  0.596  0.807
S  0.000  0.000  0.000

Computed properties:
- Space-group type: I4/mmm
- Relative energy among the computed polymorphs: 76 meV/atom
- N(E_F): 0.415 states/eV/atom
- Total magnetic moment: 0.00 μB per formula unit
- Formation energy (no corrections): -0.042 eV/atom
- Crystal system: tetragonal

***

Entry from the Alexandria database: a geometry-optimized Al2Au2S structure (PBE).

a = 7.067 Å, b = 7.067 Å, c = 3.630 Å
α = 90.00°, β = 90.00°, γ = 90.00°
Fractional positions:
Al  0.825  0.675  0.000
Al  0.175  0.325  0.000
Al  0.675  0.175  0.000
Al  0.325  0.825  0.000
Au  0.636  0.864  0.500
Au  0.136  0.636  0.500
Au  0.864  0.364  0.500
Au  0.364  0.136  0.500
S  0.500  0.500  0.000
S  0.000  0.000  0.000

Computed properties:
- Space-group type: P4/mbm
- Relative energy among the computed polymorphs: 0 meV/atom
- N(E_F): 0.394 states/eV/atom
- Total magnetic moment: 0.00 μB per formula unit
- Formation energy (no corrections): -0.118 eV/atom
- Crystal system: tetragonal

***

Entry from the Alexandria database: a geometry-optimized Al3AuS structure (PBE).

a = 4.641 Å, b = 4.641 Å, c = 4.641 Å
α = 90.00°, β = 90.00°, γ = 90.00°
Fractional positions:
Al  0.000  0.000  0.500
Al  0.500  0.000  0.000
Al  0.000  0.500  0.000
Au  0.500  0.500  0.500
S  0.000  0.000  0.000

Computed properties:
- Space-group type: Pm-3m
- Relative energy among the computed polymorphs: 279 meV/atom
- N(E_F): 0.213 states/eV/atom
- Total magnetic moment: 0.00 μB per formula unit
- Formation energy (no corrections): 0.343 eV/atom
- Crystal system: cubic

***

Entry from the Alexandria database: a geometry-optimized AlAu2S structure (PBE).

a = 6.255 Å, b = 6.255 Å, c = 6.413 Å
α = 60.81°, β = 60.81°, γ = 90.00°
Fractional positions:
Au  0.629  0.125  0.250
Au  0.875  0.879  0.750
Au  0.375  0.371  0.750
Au  0.121  0.625  0.250
S  0.750  0.250  0.500
S  0.000  0.000  0.000
Al  0.250  0.750  0.500
Al  0.500  0.500  0.000

Computed properties:
- Space-group type: I-42d
- N(E_F): 0.586 states/eV/atom
- Total magnetic moment: 0.00 μB per formula unit
- Formation energy (no corrections): 0.048 eV/atom
- Crystal system: tetragonal